# 1
PBE PtRh2, optimized geometry; size of the total moment = 0.00 μB per cell; crystal system = trigonal; energy of formation from the pure elements = 15.62 kcal/mol of atoms; E = -0.4584 Ry per atom
1.0
-2.597 1.459 -2.258
-0.994 -1.453 3.297
0.533 3.765 1.820
Rh Pt
2 1
direct
0.333 0.667 0.349
0.667 0.333 0.651
0.000 0.000 0.000

# 2
PBE CoSiPd3, optimized geometry; size of the total moment = 2.24 μB per cell; crystal system = cubic; formation energy from raw total energies = 379 meV/atom; E = -0.3853 Ry per atom
1.0
4.472 0.000 0.000
0.000 4.472 0.000
0.000 0.000 4.472
Pd Si Co
3 1 1
direct
0.000 0.500 0.000
0.500 0.000 0.000
0.000 0.000 0.500
0.000 0.000 0.000
0.500 0.500 0.500

# 3
PBE BaCoRe2, optimized geometry; size of the total moment = 1.18 μB per cell; crystal system = trigonal; energy of formation from the pure elements = 11.45 kcal/mol of atoms; E = -0.5869 Ry per atom
1.0
4.283 -0.024 0.008
2.163 3.697 0.008
2.138 1.218 5.929
Ba Re Co
1 2 1
direct
0.501 0.501 0.497
0.308 0.308 0.077
0.008 0.008 0.977
0.684 0.684 0.949

# 4
PBE Pm3Ni2Hg, optimized geometry; size of the total moment = 0.00 μB per cell; crystal system = orthorhombic; energy of formation from the pure elements = -7.71 kcal/mol of atoms; E = -0.3445 Ry per atom
1.0
-0.682 3.044 -2.618
-7.449 -1.401 0.312
-0.840 6.094 7.305
Ni Hg Pm
4 2 6
direct
0.500 0.553 0.562
0.000 0.979 0.296
0.000 0.479 0.704
0.500 0.053 0.438
0.000 0.467 0.062
0.000 0.967 0.938
0.500 0.710 0.256
0.500 0.162 0.142
0.000 0.832 0.565
0.500 0.662 0.858
0.500 0.210 0.744
0.000 0.332 0.435

# 5
PBE SrTaW2, optimized geometry; size of the total moment = 0.00 μB per cell; crystal system = orthorhombic; energy of formation from the pure elements = 16.02 kcal/mol of atoms; E = -0.6737 Ry per atom
1.0
-0.865 2.645 -0.793
-1.330 -2.021 -1.588
-7.530 -0.415 6.835
Sr Ta W
1 1 2
direct
0.000 0.000 0.489
0.500 0.500 0.790
0.000 0.000 0.007
0.500 0.500 0.213

# 6
PBE LaTb2PmP4, optimized geometry; size of the total moment = 0.00 μB per cell; crystal system = tetragonal; energy of formation from the pure elements = -36.13 kcal/mol of atoms; E = -0.4880 Ry per atom
1.0
5.816 0.317 0.000
-0.317 5.816 0.000
-2.750 -3.067 5.827
Tb Pm P La
2 1 4 1
direct
0.187 0.687 0.500
0.687 0.187 0.500
0.437 0.437 0.000
0.189 0.189 0.505
0.685 0.685 0.495
0.437 0.937 0.000
0.937 0.437 0.000
0.937 0.937 0.000

# 7
PBE Ho3ErOs, optimized geometry; size of the total moment = 0.00 μB per cell; crystal system = orthorhombic; energy of formation from the pure elements = -1.65 kcal/mol of atoms; E = -0.4393 Ry per atom
1.0
-2.988 -3.581 -4.051
-2.332 -3.498 4.812
-6.099 4.628 0.407
Ho Er Os
6 2 2
direct
0.925 0.495 0.451
0.426 0.858 0.451
0.926 0.495 0.951
0.423 0.334 0.201
0.425 0.858 0.951
0.923 0.018 0.701
0.929 0.019 0.201
0.429 0.334 0.701
0.676 0.677 0.201
0.176 0.676 0.701

# 8
PBE TlMo2Rh, optimized geometry; size of the total moment = 0.00 μB per cell; crystal system = monoclinic; energy of formation from the pure elements = 9.32 kcal/mol of atoms; E = -0.5469 Ry per atom
1.0
-0.901 4.206 -2.470
-2.355 2.151 -3.799
-4.254 1.452 2.410
Mo Tl Rh
2 1 1
direct
0.761 0.761 0.759
0.006 0.006 0.968
0.244 0.244 0.264
0.489 0.489 0.509

# 9
PBE CdCoTcSn2, optimized geometry; size of the total moment = 1.76 μB per cell; crystal system = tetragonal; energy of formation from the pure elements = 15.18 kcal/mol of atoms; E = -0.3396 Ry per atom
1.0
-3.707 -2.531 -1.822
2.979 -3.069 -1.798
-0.225 -2.606 4.077
Cd Sn Co Tc
1 2 1 1
direct
0.500 0.500 0.500
0.000 0.000 0.500
0.500 0.000 0.000
0.000 0.000 0.000
0.000 0.500 0.000

# 10
PBE Zr4Zn3Ag, optimized geometry; size of the total moment = 0.00 μB per cell; crystal system = tetragonal; energy of formation from the pure elements = -4.27 kcal/mol of atoms; E = -0.3891 Ry per atom
1.0
4.710 0.000 0.000
0.000 6.916 0.000
0.000 0.000 9.420
Zn Ag Zr
6 2 8
direct
0.500 0.500 0.250
0.500 0.500 0.750
0.000 0.000 0.000
0.500 0.000 0.250
0.000 0.000 0.500
0.500 0.000 0.750
0.000 0.500 0.000
0.000 0.500 0.500
0.000 0.244 0.750
0.500 0.244 0.500
0.500 0.756 0.500
0.500 0.756 0.000
0.500 0.244 0.000
0.000 0.244 0.250
0.000 0.756 0.750
0.000 0.756 0.250

# 11
PBE PrTm3, optimized geometry; size of the total moment = 0.00 μB per cell; crystal system = cubic; energy of formation from the pure elements = 2.73 kcal/mol of atoms; E = -0.3256 Ry per atom
1.0
5.649 0.000 0.000
2.824 4.892 0.000
2.824 1.631 4.612
Pr Tm
1 3
direct
0.500 0.500 0.500
0.250 0.250 0.250
0.000 0.000 0.000
0.750 0.750 0.750

# 12
PBE KSe3I, optimized geometry; size of the total moment = 6.00 μB per cell; crystal system = cubic; formation energy from raw total energies = 846 meV/atom; E = -0.1304 Ry per atom
1.0
-5.378 -0.501 3.161
2.022 -5.323 2.597
2.480 3.253 4.736
K Se I
1 3 1
direct
0.000 0.000 0.000
0.500 0.000 0.000
0.000 0.000 0.500
0.000 0.500 0.000
0.500 0.500 0.500

# 13
PBE Ho2In5Au, optimized geometry; size of the total moment = 0.00 μB per cell; crystal system = orthorhombic; energy of formation from the pure elements = -10.26 kcal/mol of atoms; E = -0.2727 Ry per atom
1.0
4.583 0.000 0.000
0.000 6.432 0.000
0.000 0.000 12.836
In Au Ho
10 2 4
direct
0.000 0.500 0.500
0.500 0.735 0.119
0.000 0.000 0.000
0.000 0.002 0.743
0.500 0.235 0.381
0.500 0.265 0.881
0.000 0.498 0.243
0.000 0.998 0.257
0.000 0.502 0.757
0.500 0.765 0.619
0.000 0.000 0.500
0.000 0.500 0.000
0.500 0.240 0.127
0.500 0.740 0.373
0.500 0.760 0.873
0.500 0.260 0.627